Record 1
YNbP2O | PBE | optimized geometry

Properties
Density of states at the Fermi level ... 0.2568 states/eV per atom
Uncorrected formation energy ... -1.172 eV per atom
Relative energy among the computed polymorphs ... 0 meV/atom
Density ... 4.532 g cm⁻³
Total energy ... -7.634 eV/atom

```
YNbP2O
1.0
4.9348 0.0000 0.0000
0.0000 4.9348 0.0000
0.0000 0.0000 3.9087
Y Nb P O
1 1 2 1
direct
0.0000 0.0000 0.0000
0.5000 0.5000 0.5000
0.0000 0.5000 0.5000
0.5000 0.0000 0.5000
0.5000 0.5000 0.0000
```



Record 2
YNbP2O | PBE | optimized geometry

Properties
Density of states at the Fermi level ... 1.2800 states/eV per atom
Uncorrected formation energy ... 0.211 eV per atom
Relative energy among the computed polymorphs ... 1383 meV/atom
Density ... 4.010 g cm⁻³
Total energy ... -6.251 eV/atom

```
YNbP2O
1.0
5.1889 0.0000 0.0000
0.0000 5.1889 0.0000
0.0000 0.0000 3.9945
Y Nb P O
1 1 2 1
direct
0.0000 0.0000 0.0000
0.5000 0.5000 0.5000
0.0000 0.5000 0.0000
0.5000 0.0000 0.0000
0.0000 0.0000 0.5000
```